Record 1
An optimized crystal structure of MnSnPHS. Source: Alexandria via LeMat-Bulk, functional PBE.

a b c (Å): 4.274 4.119 4.914
angles (deg): 90.00 112.46 90.00
Fractional positions:
1 P 0.701 0.500 0.979
2 Mn 0.204 0.500 0.991
3 S 0.070 0.000 0.697
4 Sn 0.430 0.000 0.357
5 H 0.267 0.500 0.324

=====

Record 2
An optimized crystal structure of Tb3HoTl2. Source: Alexandria via LeMat-Bulk, functional PBE.

a b c (Å): 5.112 6.794 10.025
angles (deg): 90.00 90.00 90.00
Fractional positions:
1 Tl 0.000 0.793 0.366
2 Tb 0.000 0.324 0.315
3 Tb 0.000 0.954 0.040
4 Tb 0.000 0.454 0.960
5 Tb 0.500 0.676 0.188
6 Tl 0.500 0.208 0.135
7 Ho 0.500 0.545 0.541
8 Ho 0.500 0.045 0.459
9 Tb 0.500 0.176 0.812
10 Tl 0.000 0.293 0.634
11 Tb 0.000 0.824 0.685
12 Tl 0.500 0.708 0.865

## Properties
Formation enthalpy at 0 K in meV per atom: -270

=====

Number 1: electronic total energy -5.2230 eV per atom, Fermi-level density of states 0.66 states/eV per cell, ΔE to the lowest computed polymorph 0.081 eV per atom. Number 2: electronic total energy -4.1364 eV per atom, Fermi-level density of states 12.40 states/eV per cell, ΔE to the lowest computed polymorph 0.000 eV per atom.